{"formula": "BaPuTaO6", "functional": "PBE", "state": "optimized geometry", "e_tot_ev_per_atom": -9.337, "magnetic_moment_mub_per_fu": 3.0, "formation_energy_uncorrected_kj_per_mol_fu": -2526.0, "crystal_system": "trigonal", "density_g_cm3": 7.04, "lattice_angstrom": [[-4.114, -1.853, -3.363], [2.746, -3.605, 3.336], [-7.564, 1.854, 8.230]], "species": ["Ta", "Ta", "Ba", "Ba", "O", "O", "O", "O", "O", "O", "O", "O", "O", "O", "O", "O", "Pu", "Pu"], "fractional_positions": [[0.333, 0.667, 0.250], [0.667, 0.333, 0.750], [0.000, 0.000, 0.500], [0.000, 0.000, 0.000], [0.374, 0.391, 0.348], [0.626, 0.017, 0.848], [0.609, 0.983, 0.348], [0.391, 0.374, 0.848], [0.609, 0.626, 0.152], [0.626, 0.609, 0.652], [0.391, 0.017, 0.652], [0.983, 0.374, 0.652], [0.017, 0.626, 0.348], [0.983, 0.609, 0.848], [0.374, 0.983, 0.152], [0.017, 0.391, 0.152], [0.333, 0.667, 0.750], [0.667, 0.333, 0.250]]}